Below is crystalline AcCuNiPd at its relaxed geometry, with properties calculated at the PBE level.

```
data_AcCuNiPd
_chemical_formula_sum 'Ac1 Cu1 Ni1 Pd1'
_cell_length_a 4.3102
_cell_length_b 4.3141
_cell_length_c 5.6092
_cell_angle_alpha 112.45
_cell_angle_beta 90.00
_cell_angle_gamma 119.97
_space_group_name_H-M_alt 'P 1'
_space_group_IT_number 1
_space_group_name_Hall 'P 1'
loop_
_atom_site_label
_atom_site_type_symbol
_atom_site_fract_x
_atom_site_fract_y
_atom_site_fract_z
_atom_site_occupancy
Ni1 Ni 0.8121 0.6243 0.0789 1
Cu1 Cu 0.1263 0.2526 0.0208 1
Pd1 Pd 0.4132 0.8265 0.8816 1
Ac1 Ac 0.6146 0.2293 0.4860 1
```

Output
DFT total energy, eV/cell: -20.72
Space group: Cm, No. 8
Energy of formation from the pure elements, meV per atom: -386